Entry 1:
{
  "formula": "BeAs3H",
  "functional": "PBE-GGA",
  "state": "optimized geometry",
  "magmom_total_mub_per_atom": 0.00,
  "de_polymorph_ev_per_atom": 0.000,
  "cell": [[4.196, 0.000, 0.000], [0.000, 4.196, 0.000], [0.000, 0.000, 4.196]],
  "species": ["Be", "As", "As", "As", "H"],
  "frac_coords": [[0.000, 0.000, 0.000], [0.000, 0.500, 0.500], [0.500, 0.000, 0.500], [0.500, 0.500, 0.000], [0.500, 0.500, 0.500]]
}

Entry 2:
{
  "formula": "Ca2Ac2Bi2P",
  "functional": "PBE-GGA",
  "state": "optimized geometry",
  "magmom_total_mub_per_atom": 0.00,
  "ef_ev_per_fu": -6.7,
  "cell": [[-2.625, 2.625, 8.925], [2.625, -2.625, 8.925], [2.625, 2.625, -8.925]],
  "species": ["Ca", "Ca", "Ac", "Ac", "Bi", "Bi", "P"],
  "frac_coords": [[0.000, 0.500, 0.500], [0.500, 0.000, 0.500], [0.170, 0.170, 0.000], [0.830, 0.830, 0.000], [0.365, 0.365, 0.000], [0.635, 0.635, 0.000], [0.000, 0.000, 0.000]]
}